First-principles (meta-GGA SCAN) data for a crystal of Zn3Cu3As4O16 relaxed with PBEsol, as listed in Alexandria.

a = 5.077 Å, b = 8.512 Å, c = 14.719 Å
α = 101.82°, β = 90.00°, γ = 90.00°
Fractional coordinates of all 52 atoms:
O 0.091 0.437 0.244
O 0.678 0.389 0.369
Cu 0.006 0.669 0.878
Cu 0.494 0.169 0.378
O 0.322 0.611 0.631
O 0.895 0.194 0.799
O 0.085 0.763 0.006
O 0.289 0.016 0.590
O 0.591 0.063 0.256
O 0.680 0.973 0.074
Zn 0.549 0.482 0.785
As 0.497 0.188 0.602
O 0.320 0.027 0.926
O 0.191 0.888 0.395
O 0.180 0.527 0.426
As 0.990 0.611 0.649
O 0.909 0.563 0.756
O 0.105 0.806 0.201
O 0.711 0.984 0.410
Cu 0.994 0.331 0.122
As 0.010 0.389 0.351
O 0.415 0.263 0.506
O 0.915 0.237 0.994
O 0.585 0.737 0.494
Zn 0.000 0.000 0.000
O 0.115 0.191 0.346
As 0.510 0.111 0.149
O 0.789 0.484 0.910
Zn 0.451 0.518 0.215
O 0.385 0.691 0.846
O 0.409 0.937 0.744
O 0.822 0.889 0.869
Cu 0.000 0.000 0.500
As 0.490 0.889 0.851
As 0.503 0.812 0.398
O 0.309 0.388 0.895
O 0.615 0.309 0.154
As 0.997 0.312 0.898
O 0.820 0.473 0.574
O 0.691 0.612 0.105
O 0.211 0.516 0.090
Cu 0.500 0.500 0.000
Zn 0.951 0.982 0.285
Cu 0.506 0.831 0.622
O 0.178 0.111 0.131
O 0.809 0.112 0.605
O 0.885 0.809 0.654
Zn 0.049 0.018 0.715
As 0.003 0.688 0.102
O 0.605 0.694 0.299
O 0.395 0.306 0.701
Zn 0.500 0.500 0.500

Values from the calculation:
Magnetic moment, μB/f.u.: 3.08
SG: P2_1/c
Calculated volume, Å³/cell: 622.6
Formation energy (no corrections), eV per atom: -1.293
Electronic total energy, eV per atom: -11.547